CaP3Se: relaxed, GGA-PBE.

Its density of states at the Fermi level is 1.39 states/eV/atom. As for the space group: Pm-3m (221). For the energy, the calculation gives -3.003 eV per atom. Its energy above the most stable polymorph in this dataset is 0.966 eV per atom. The formation energy (no corrections) comes out at 1.340 eV per atom.

Cell lengths 5.1996, 5.1996, 5.1996 Å; angles 90.00, 90.00, 90.00 degrees
With the nearest neighbours (Å) after each atom.
Fractional positions:
Ca1 0.0000 0.0000 0.0000  6 P 2.60
P1 0.0000 0.0000 0.5000  2 Ca 2.60
P2 0.0000 0.5000 0.0000  2 Ca 2.60
P3 0.5000 0.0000 0.0000  2 Ca 2.60
Se1 0.5000 0.5000 0.5000  12 P 3.68